Compound: LaBiSe3
Source: Alexandria
Functional: PBE
Structure: relaxed

Lattice parameters (Å, degrees): 5.4435 5.4435 5.4435 90.00 90.00 90.00
Atoms (fractional coordinates):
Bi: 0.0000 0.0000 0.0000
Se: 0.0000 0.5000 0.0000
Se: 0.0000 0.0000 0.5000
Se: 0.5000 0.0000 0.0000
La: 0.5000 0.5000 0.5000

Calculated values
**SG**: Pm-3m (221)
**Polymorph energy (0 for the lowest one)**: 3.13 eV per formula unit
**Formation energy (no corrections)**: -2.81 eV per formula unit



Compound: CeSm2DyTe5
Source: Alexandria
Functional: PBE
Structure: relaxed

Lattice parameters (Å, degrees): 5.5419 5.5419 11.8970 90.00 90.00 90.00
Each line ends with the local moment (μB).
Atoms (fractional coordinates):
Ce: 0.0000 0.0000 0.0000  1.16
Sm: 0.5000 0.5000 0.3485  0.14
Sm: 0.5000 0.5000 0.6515  0.14
Dy: 0.0000 0.0000 0.5000  0.02
Te: 0.0000 0.5000 0.5000  0.00
Te: 0.5000 0.0000 0.5000  0.00
Te: 0.0000 0.0000 0.7479  -0.01
Te: 0.0000 0.0000 0.2521  -0.01
Te: 0.5000 0.5000 0.0000  -0.01

Calculated values
**SG**: P4/mmm (123)
**Formation energy (no corrections)**: -6.97 eV per formula unit



Compound: Pm12InPd5
Source: Alexandria
Functional: PBE
Structure: relaxed

Lattice parameters (Å, degrees): 8.7497 8.7497 8.7497 105.67 112.62 110.20
Atoms (fractional coordinates):
Pm: 0.5314 0.8202 0.7112
Pm: 0.4686 0.1798 0.2888
Pm: 0.8910 0.1798 0.7112
Pm: 0.1090 0.8202 0.2888
Pm: 0.6990 0.6743 0.3733
Pm: 0.3010 0.3257 0.6267
Pm: 0.3010 0.6743 0.9753
Pm: 0.6990 0.3257 0.0247
Pm: 0.8117 0.5881 0.7763
Pm: 0.1883 0.4119 0.2237
Pm: 0.1883 0.9646 0.7763
Pm: 0.8117 0.0354 0.2237
In: 0.0000 0.5000 0.5000
Pd: 0.6470 0.6470 0.0000
Pd: 0.3530 0.3530 0.0000
Pd: 0.5000 0.1313 0.6313
Pd: 0.5000 0.8687 0.3687
Pd: 0.0000 0.0000 0.0000

Calculated values
**SG**: Immm (71)



Compound: GdPF
Source: Alexandria
Functional: PBE
Structure: relaxed

Lattice parameters (Å, degrees): 3.2829 3.2829 5.4922 107.39 107.39 90.00
Each line ends with the local moment (μB).
Atoms (fractional coordinates):
P: 0.0077 0.0077 0.0154  -0.10
Gd: 0.7021 0.7021 0.4043  6.92
F: 0.2901 0.2901 0.5803  -0.01

Calculated values
**SG**: I4mm (107)
**Polymorph energy (0 for the lowest one)**: 0.78 eV per formula unit
**Formation energy (no corrections)**: -5.30 eV per formula unit



VASP energy across the listed records, respectively: -4.4139; -4.7388; -5.2746; -8.8868 eV per atom.